1.
# SmZn5Pd2 | Alexandria via LeMat-Bulk | PBE-GGA | optimized geometry
data_SmZn5Pd2
_chemical_formula_sum 'Sm2 Zn10 Pd4'
_cell_length_a 3.7979
_cell_length_b 7.5112
_cell_length_c 9.9880
_cell_angle_alpha 90.00
_cell_angle_beta 90.00
_cell_angle_gamma 90.00
_space_group_name_H-M_alt 'I m m m'
_space_group_IT_number 71
_space_group_name_Hall '-I 2 2'
loop_
_atom_site_label
_atom_site_type_symbol
_atom_site_fract_x
_atom_site_fract_y
_atom_site_fract_z
_atom_site_occupancy
Sm1 Sm 0.0000 0.0000 0.0000 1
Zn1 Zn 0.0000 0.1897 0.3604 1
Zn2 Zn 0.0000 0.5000 0.0000 1
Pd1 Pd 0.0000 0.5000 0.2572 1
# formation energy from the elements = -3.37 eV per formula unit
# total magnetization = 0.00 μB per cell



2.
# Sm5Zn4Pd | Alexandria via LeMat-Bulk | PBE-GGA | optimized geometry
data_Sm5Zn4Pd
_chemical_formula_sum 'Sm5 Zn4 Pd1'
_cell_length_a 3.6497
_cell_length_b 3.6497
_cell_length_c 17.9527
_cell_angle_alpha 90.00
_cell_angle_beta 90.00
_cell_angle_gamma 90.00
_space_group_name_H-M_alt 'P 4/m m m'
_space_group_IT_number 123
_space_group_name_Hall '-P 4 2'
loop_
_atom_site_label
_atom_site_type_symbol
_atom_site_fract_x
_atom_site_fract_y
_atom_site_fract_z
_atom_site_occupancy
Sm1 Sm 0.0000 0.0000 0.0000 1
Sm2 Sm 0.0000 0.0000 0.2021 1
Sm3 Sm 0.0000 0.0000 0.4041 1
Zn1 Zn 0.5000 0.5000 0.1021 1
Zn2 Zn 0.5000 0.5000 0.3008 1
Pd1 Pd 0.5000 0.5000 0.5000 1
# formation energy from the elements = -4.20 eV per formula unit
# total magnetization = 0.00 μB per cell